# 1
DFT (PBE-GGA) results for a relaxed Pm2NdPu crystal.

Summary:
- Magnetic moment: 19.4 μB/cell
- ΔE_f: 0.27 eV/atom
- DOS at the Fermi energy: 37.3 states/eV per cell

Lattice parameters (Å, degrees): 3.5205 3.5205 37.5588 90.00 90.00 120.00
Space group R-3m (No. 166, hexagonal axes)
Unique sites:
Pm1 0.0000 0.0000 0.0872 [6 per cell]
Nd1 0.0000 0.0000 0.5000 [3 per cell]
Pu1 0.0000 0.0000 0.0000 [3 per cell]

***

# 2
DFT (PBE-GGA) results for a relaxed PmNd14Pu crystal.

Summary:
- Magnetic moment: 13.4 μB/cell
- ΔE_f: 0.06 eV/atom
- DOS at the Fermi energy: 64.0 states/eV per cell

Lattice parameters (Å, degrees): 11.8515 7.4007 12.8114 90.00 90.00 90.00
Space group Amm2 (No. 38)
Unique sites:
Pm1 0.0000 0.0000 0.0000 [2 per cell]
Nd1 0.0000 0.2503 0.2508 [4 per cell]
Nd2 0.2461 0.0000 0.3350 [4 per cell]
Nd3 0.2455 0.2474 0.5823 [8 per cell]
Nd4 0.2509 0.0000 0.8332 [4 per cell]
Nd5 0.5000 0.0000 0.0007 [2 per cell]
Nd6 0.5000 0.0000 0.5007 [2 per cell]
Nd7 0.5000 0.2496 0.2504 [4 per cell]
Pu1 0.0000 0.0000 0.5004 [2 per cell]

***

# 3
DFT (PBE-GGA) results for a relaxed Pm4Nd5Pu crystal.

Summary:
- Magnetic moment: 11.3 μB/cell
- ΔE_f: 0.26 eV/atom
- DOS at the Fermi energy: 38.4 states/eV per cell

Lattice parameters (Å, degrees): 17.8083 4.9097 8.8438 90.00 112.36 90.00
Space group C2/m (No. 12)
Unique sites:
Pm1 0.0339 0.0000 0.2745 [4 per cell]
Pm2 0.1765 0.5000 0.4217 [4 per cell]
Nd1 0.0000 0.5000 0.0000 [2 per cell]
Nd2 0.1503 0.0000 0.6968 [4 per cell]
Nd3 0.1856 0.0000 0.1138 [4 per cell]
Pu1 0.0000 0.5000 0.5000 [2 per cell]

***

# 4
DFT (PBE-GGA) results for a relaxed Pm2NdPu crystal.

Summary:
- Magnetic moment: 6.3 μB/cell
- ΔE_f: 0.15 eV/atom
- DOS at the Fermi energy: 16.3 states/eV per cell

Lattice parameters (Å, degrees): 5.0757 5.0757 5.0853 90.00 90.00 90.00
Space group P4/mmm (No. 123)
Unique sites:
Pm1 0.0000 0.5000 0.0000 [2 per cell]
Nd1 0.0000 0.0000 0.5000 [1 per cell]
Pu1 0.5000 0.5000 0.5000 [1 per cell]

***

# 5
DFT (PBE-GGA) results for a relaxed Pm7Nd12Pu crystal.

Summary:
- Magnetic moment: 13.8 μB/cell
- ΔE_f: 0.64 eV/atom
- DOS at the Fermi energy: 80.6 states/eV per cell

Lattice parameters (Å, degrees): 11.6581 11.6581 11.6581 90.00 90.00 90.00
Space group Im-3 (No. 204)
Unique sites:
Pm1 0.0000 0.0000 0.5000 [6 per cell]
Pm2 0.2500 0.2500 0.2500 [8 per cell]
Nd1 0.0000 0.2472 0.2489 [24 per cell]
Pu1 0.0000 0.0000 0.0000 [2 per cell]

***

# 6
DFT (PBE-GGA) results for a relaxed PmNdPu4 crystal.

Summary:
- Magnetic moment: 90.7 μB/cell
- ΔE_f: 0.25 eV/atom
- DOS at the Fermi energy: 112.1 states/eV per cell

Lattice parameters (Å, degrees): 8.8045 8.8045 8.8045 90.00 90.00 90.00
Space group F-43m (No. 216)
Unique sites:
Pm1 0.0000 0.0000 0.0000 [4 per cell]
Nd1 0.2500 0.2500 0.7500 [4 per cell]
Pu1 0.1250 0.1250 0.3750 [16 per cell]